Run w
# KNa2InAu, optimized geometry, DFT PBE
data_KNa2InAu
_cell_length_a 5.738
_cell_length_b 5.738
_cell_length_c 5.295
_cell_angle_alpha 90.00
_cell_angle_beta 90.00
_cell_angle_gamma 90.00
_space_group_name_H-M_alt 'P 4/m m m'
_space_group_IT_number 123
_space_group_name_Hall '-P 4 2'
loop_
_atom_site_label
_atom_site_type_symbol
_atom_site_fract_x
_atom_site_fract_y
_atom_site_fract_z
K1 K 0.000 0.000 0.000
Na1 Na 0.000 0.500 0.500
In1 In 0.500 0.500 0.000
Au1 Au 0.500 0.500 0.500
# Total moment = 0.000 μB/atom
# Crystal system = tetragonal
# Theoretical density = 3.8 Mg/m³

Run x
# KNa2InAu, optimized geometry, DFT PBE
data_KNa2InAu
_cell_length_a 5.968
_cell_length_b 5.968
_cell_length_c 5.256
_cell_angle_alpha 90.00
_cell_angle_beta 90.00
_cell_angle_gamma 90.00
_space_group_name_H-M_alt 'P 4/m m m'
_space_group_IT_number 123
_space_group_name_Hall '-P 4 2'
loop_
_atom_site_label
_atom_site_type_symbol
_atom_site_fract_x
_atom_site_fract_y
_atom_site_fract_z
K1 K 0.000 0.000 0.000
Na1 Na 0.000 0.500 0.500
In1 In 0.500 0.500 0.500
Au1 Au 0.500 0.500 0.000
# Total moment = 0.000 μB/atom
# Crystal system = tetragonal
# Theoretical density = 3.5 Mg/m³

Least stable: run x

Run w
# KInPbAu2, optimized geometry, DFT PBE
data_KInPbAu2
_cell_length_a 4.872
_cell_length_b 4.872
_cell_length_c 11.955
_cell_angle_alpha 90.00
_cell_angle_beta 90.00
_cell_angle_gamma 90.00
_space_group_name_H-M_alt 'I -4 m 2'
_space_group_IT_number 119
_space_group_name_Hall 'I -4 -2'
loop_
_atom_site_label
_atom_site_type_symbol
_atom_site_fract_x
_atom_site_fract_y
_atom_site_fract_z
K1 K 0.000 0.000 0.000
In1 In 0.000 0.500 0.250
Pb1 Pb 0.000 0.500 0.750
Au1 Au 0.000 0.000 0.384
# Total moment = 0.000 μB/atom
# Crystal system = tetragonal
# Theoretical density = 8.8 Mg/m³

Run x
# KInPbAu2, optimized geometry, DFT PBE
data_KInPbAu2
_cell_length_a 5.364
_cell_length_b 5.364
_cell_length_c 5.748
_cell_angle_alpha 90.00
_cell_angle_beta 90.00
_cell_angle_gamma 90.00
_space_group_name_H-M_alt 'P 4/m m m'
_space_group_IT_number 123
_space_group_name_Hall '-P 4 2'
loop_
_atom_site_label
_atom_site_type_symbol
_atom_site_fract_x
_atom_site_fract_y
_atom_site_fract_z
K1 K 0.000 0.000 0.000
In1 In 0.500 0.500 0.500
Pb1 Pb 0.500 0.500 0.000
Au1 Au 0.000 0.500 0.500
# Total moment = 0.000 μB/atom
# Crystal system = tetragonal
# Theoretical density = 7.6 Mg/m³

Least stable: run x

Run w
# KRbIn2Au, optimized geometry, DFT PBE
data_KRbIn2Au
_cell_length_a 5.530
_cell_length_b 5.530
_cell_length_c 6.257
_cell_angle_alpha 90.00
_cell_angle_beta 90.00
_cell_angle_gamma 90.00
_space_group_name_H-M_alt 'P 4/m m m'
_space_group_IT_number 123
_space_group_name_Hall '-P 4 2'
loop_
_atom_site_label
_atom_site_type_symbol
_atom_site_fract_x
_atom_site_fract_y
_atom_site_fract_z
K1 K 0.000 0.000 0.000
Rb1 Rb 0.500 0.500 0.000
In1 In 0.000 0.500 0.500
Au1 Au 0.000 0.000 0.500
# Total moment = 0.000 μB/atom
# Crystal system = tetragonal
# Theoretical density = 4.8 Mg/m³

Run x
# KRbIn2Au, optimized geometry, DFT PBE
data_KRbIn2Au
_cell_length_a 5.538
_cell_length_b 5.538
_cell_length_c 6.392
_cell_angle_alpha 90.00
_cell_angle_beta 90.00
_cell_angle_gamma 90.00
_space_group_name_H-M_alt 'P 4/m m m'
_space_group_IT_number 123
_space_group_name_Hall '-P 4 2'
loop_
_atom_site_label
_atom_site_type_symbol
_atom_site_fract_x
_atom_site_fract_y
_atom_site_fract_z
K1 K 0.000 0.000 0.000
Rb1 Rb 0.500 0.500 0.000
In1 In 0.000 0.500 0.500
Au1 Au 0.500 0.500 0.500
# Total moment = 0.000 μB/atom
# Crystal system = tetragonal
# Theoretical density = 4.7 Mg/m³

Least stable: run x

Run w
# KZnInAu2, optimized geometry, DFT PBE
data_KZnInAu2
_cell_length_a 4.595
_cell_length_b 4.595
_cell_length_c 11.839
_cell_angle_alpha 90.00
_cell_angle_beta 90.00
_cell_angle_gamma 90.00
_space_group_name_H-M_alt 'I -4 m 2'
_space_group_IT_number 119
_space_group_name_Hall 'I -4 -2'
loop_
_atom_site_label
_atom_site_type_symbol
_atom_site_fract_x
_atom_site_fract_y
_atom_site_fract_z
K1 K 0.000 0.000 0.000
Zn1 Zn 0.000 0.500 0.750
In1 In 0.000 0.500 0.250
Au1 Au 0.000 0.000 0.382
# Total moment = 0.000 μB/atom
# Crystal system = tetragonal
# Theoretical density = 8.1 Mg/m³

Run x
# KZnInAu2, optimized geometry, DFT PBE
data_KZnInAu2
_cell_length_a 5.884
_cell_length_b 5.884
_cell_length_c 6.401
_cell_angle_alpha 90.00
_cell_angle_beta 90.00
_cell_angle_gamma 90.00
_space_group_name_H-M_alt 'P 4/m m m'
_space_group_IT_number 123
_space_group_name_Hall '-P 4 2'
loop_
_atom_site_label
_atom_site_type_symbol
_atom_site_fract_x
_atom_site_fract_y
_atom_site_fract_z
K1 K 0.000 0.000 0.000
Zn1 Zn 0.500 0.500 0.500
In1 In 0.000 0.000 0.500
Au1 Au 0.000 0.500 0.000
# Total moment = 0.000 μB/atom
# Crystal system = tetragonal
# Theoretical density = 4.6 Mg/m³

Least stable: run x

Run w
# La8InAu2, optimized geometry, DFT PBE
data_La8InAu2
_cell_length_a 18.260
_cell_length_b 5.137
_cell_length_c 8.238
_cell_angle_alpha 90.00
_cell_angle_beta 114.16
_cell_angle_gamma 90.00
_space_group_name_H-M_alt 'C 1 2/m 1'
_space_group_IT_number 12
loop_
_space_group_symop_operation_xyz
'x,y,z'
'-x,-y,-z'
'-x,y,-z'
'x,-y,z'
'x+1/2,y+1/2,z'
'-x+1/2,-y+1/2,-z'
'-x+1/2,y+1/2,-z'
'x+1/2,-y+1/2,z'
loop_
_atom_site_label
_atom_site_type_symbol
_atom_site_fract_x
_atom_site_fract_y
_atom_site_fract_z
La1 La 0.040 0.000 0.261
La2 La 0.088 0.500 0.959
La3 La 0.179 0.500 0.470
La4 La 0.184 0.000 0.786
In1 In 0.000 0.500 0.500
Au1 Au 0.189 0.000 0.159
# Total moment = 0.000 μB/atom
# Crystal system = monoclinic
# Theoretical density = 7.6 Mg/m³

Run x
# La8InAu2, optimized geometry, DFT PBE
data_La8InAu2
_cell_length_a 9.101
_cell_length_b 14.543
_cell_length_c 5.671
_cell_angle_alpha 90.00
_cell_angle_beta 106.41
_cell_angle_gamma 90.00
_space_group_name_H-M_alt 'C 1 2/m 1'
_space_group_IT_number 12
loop_
_space_group_symop_operation_xyz
'x,y,z'
'-x,-y,-z'
'-x,y,-z'
'x,-y,z'
'x+1/2,y+1/2,z'
'-x+1/2,-y+1/2,-z'
'-x+1/2,y+1/2,-z'
'x+1/2,-y+1/2,z'
loop_
_atom_site_label
_atom_site_type_symbol
_atom_site_fract_x
_atom_site_fract_y
_atom_site_fract_z
La1 La 0.000 0.240 0.000
La2 La 0.107 0.500 0.811
La3 La 0.187 0.112 0.574
In1 In 0.000 0.000 0.000
Au1 Au 0.000 0.313 0.500
# Total moment = 0.000 μB/atom
# Crystal system = monoclinic
# Theoretical density = 7.5 Mg/m³

Least stable: run x